4
Lattice="5.5243 0.0000 0.0000 2.7622 4.7842 0.0000 2.7622 1.5947 4.5106" Properties=species:S:1:pos:R:3 comment="AcThInAu | Alexandria via LeMat-Bulk | PBE-GGA | relaxed" formation_energy_mev_per_atom=-370 m_tot_mub_per_atom=0.19 pbc="T T T"
Ac 8.2865 4.7842 3.3829
Au 5.5243 3.1895 2.2553
Th 2.7622 1.5947 1.1276
In 0.0000 0.0000 0.0000